1.
VASP calculation (GGA-PBE) on an optimized crystal structure of LiMgBe2.

- Symmetry: P4mm (99)
- Raw total energy: -2.5429 eV per atom
- Formation energy from the elements: 197 meV/atom
- Total magnetic moment: 0.00 μB/cell

Structure (extended XYZ):
```
4
Lattice="2.836 0.000 0.000 0.000 2.836 0.000 0.000 0.000 6.557" Properties=species:S:1:pos:R:3 pbc="T T T"
Be 0.000 0.000 0.439
Be 1.418 1.418 1.307
Li 0.000 0.000 2.937
Mg 1.418 1.418 5.153
```

2.
VASP calculation (GGA-PBE) on an optimized crystal structure of LiMgBe2.

- Symmetry: I-42d (122)
- Raw total energy: -2.1159 eV per atom
- Formation energy from the elements: 624 meV/atom
- Total magnetic moment: 0.00 μB/cell

Structure (extended XYZ):
```
8
Lattice="-4.854 -0.367 -4.850 4.861 -0.166 -4.853 0.053 -2.623 -4.722" Properties=species:S:1:pos:R:3 pbc="T T T"
Be -2.328 -0.899 -4.733
Be 2.360 -0.812 -4.904
Be 0.127 -2.170 -7.265
Be -0.038 -2.431 -11.946
Mg 0.000 0.000 0.000
Mg -2.399 -1.628 -7.211
Li 0.004 -0.266 -4.851
Li 2.459 -1.528 -7.213
```

3.
VASP calculation (GGA-PBE) on an optimized crystal structure of LiMgBe2.

- Symmetry: Cm (8)
- Raw total energy: -2.4949 eV per atom
- Formation energy from the elements: 245 meV/atom
- Total magnetic moment: 0.00 μB/cell

Structure (extended XYZ):
```
4
Lattice="4.809 -0.106 0.059 3.902 2.812 0.059 1.857 0.577 3.759" Properties=species:S:1:pos:R:3 pbc="T T T"
Be 2.083 0.647 3.640
Be 7.731 2.402 3.015
Li 5.158 1.603 2.003
Mg 2.738 0.851 0.918
```

4.
VASP calculation (GGA-PBE) on an optimized crystal structure of LiMgBe2.

- Symmetry: R3m (160)
- Raw total energy: -2.3404 eV per atom
- Formation energy from the elements: 400 meV/atom
- Total magnetic moment: 0.00 μB/cell

Structure (extended XYZ):
```
4
Lattice="8.779 0.000 0.000 8.362 2.673 0.000 8.362 1.304 2.333" Properties=species:S:1:pos:R:3 pbc="T T T"
Be 25.203 3.930 2.306
Be 6.595 1.028 0.603
Li 13.001 2.027 1.189
Mg 18.961 2.957 1.735
```

5.
VASP calculation (GGA-PBE) on an optimized crystal structure of LiMgBe2.

- Symmetry: Cmmm (65)
- Raw total energy: -2.3188 eV per atom
- Formation energy from the elements: 421 meV/atom
- Total magnetic moment: 0.00 μB/cell

Structure (extended XYZ):
```
4
Lattice="2.589 -0.019 0.000 -0.595 2.520 0.000 0.000 0.000 8.184" Properties=species:S:1:pos:R:3 pbc="T T T"
Be 0.000 0.000 0.071
Be 0.000 0.000 4.021
Li 0.997 1.250 2.046
Mg 0.997 1.250 6.138
```

6.
VASP calculation (GGA-PBE) on an optimized crystal structure of LiMgBe2.

- Symmetry: Pm (6)
- Raw total energy: -2.4719 eV per atom
- Formation energy from the elements: 268 meV/atom
- Total magnetic moment: 0.00 μB/cell

Structure (extended XYZ):
```
4
Lattice="-0.773 -1.426 -3.569 2.506 0.700 -0.822 2.982 -4.158 1.016" Properties=species:S:1:pos:R:3 pbc="T T T"
Be 0.527 -0.011 -0.110
Be 0.488 -1.647 -1.600
Li 2.498 -1.536 0.073
Mg 3.946 -3.420 -1.641
```

7.
VASP calculation (GGA-PBE) on an optimized crystal structure of LiMgBe2.

- Symmetry: Cmmm (65)
- Raw total energy: -2.3585 eV per atom
- Formation energy from the elements: 382 meV/atom
- Total magnetic moment: 0.00 μB/cell

Structure (extended XYZ):
```
4
Lattice="4.579 0.021 0.000 -1.552 4.308 0.000 0.000 0.000 2.705" Properties=species:S:1:pos:R:3 pbc="T T T"
Be 0.000 0.000 0.000
Be 1.514 2.165 0.000
Li 2.290 0.011 1.352
Mg -0.776 2.154 1.352
```

8.
VASP calculation (GGA-PBE) on an optimized crystal structure of LiMgBe2.

- Symmetry: P2/m (10)
- Raw total energy: -2.4064 eV per atom
- Formation energy from the elements: 334 meV/atom
- Total magnetic moment: 0.00 μB/cell

Structure (extended XYZ):
```
4
Lattice="4.120 0.000 0.000 0.000 2.551 -0.002 0.000 1.131 4.934" Properties=species:S:1:pos:R:3 pbc="T T T"
Be 0.000 0.190 0.233
Be 0.000 1.651 2.233
Li 2.060 0.921 1.233
Mg 2.060 2.762 3.699
```

9.
VASP calculation (GGA-PBE) on an optimized crystal structure of LiMgBe2.

- Symmetry: I4/mmm (139)
- Raw total energy: -2.3889 eV per atom
- Formation energy from the elements: 351 meV/atom
- Total magnetic moment: 0.00 μB/cell

Structure (extended XYZ):
```
4
Lattice="-0.867 3.929 2.551 -3.037 -0.507 3.634 3.880 -2.280 -1.560" Properties=species:S:1:pos:R:3 pbc="T T T"
Be 0.000 0.000 0.000
Be -1.952 1.711 3.092
Li -0.555 -0.538 2.583
Mg 0.531 1.680 2.041
```

10.
VASP calculation (GGA-PBE) on an optimized crystal structure of LiMg3Be.

- Symmetry: Pm-3m (221)
- Raw total energy: -1.3225 eV per atom
- Formation energy from the elements: 762 meV/atom
- Total magnetic moment: 0.00 μB/cell

Structure (extended XYZ):
```
5
Lattice="-2.258 -3.343 -2.589 3.287 -3.234 1.311 -2.661 -1.158 3.816" Properties=species:S:1:pos:R:3 pbc="T T T"
Be -0.816 -3.868 1.269
Mg 1.643 -1.617 0.655
Mg -1.331 -0.579 1.908
Mg -1.129 -1.672 -1.295
Li 0.000 0.000 0.000
```

11.
VASP calculation (GGA-PBE) on an optimized crystal structure of LiMgBe2.

- Symmetry: C2/m (12)
- Raw total energy: -2.3704 eV per atom
- Formation energy from the elements: 370 meV/atom
- Total magnetic moment: 0.00 μB/cell

Structure (extended XYZ):
```
4
Lattice="-4.019 3.133 -0.271 -0.236 -4.133 -2.505 -1.828 -1.137 1.407" Properties=species:S:1:pos:R:3 pbc="T T T"
Be 0.000 0.000 0.000
Be -2.923 0.998 0.568
Li -1.032 -2.635 -0.549
Mg -2.128 -0.500 -1.388
```

12.
VASP calculation (GGA-PBE) on an optimized crystal structure of LiMg3Be.

- Symmetry: Pm-3m (221)
- Raw total energy: -1.8517 eV per atom
- Formation energy from the elements: 233 meV/atom
- Total magnetic moment: 0.00 μB/cell

Structure (extended XYZ):
```
5
Lattice="-2.128 -1.159 -4.149 0.661 -4.660 0.963 -4.256 -0.144 2.223" Properties=species:S:1:pos:R:3 pbc="T T T"
Be 0.000 0.000 0.000
Mg 0.330 -2.330 0.482
Mg -2.128 -0.072 1.112
Mg -1.064 -0.579 -2.074
Li -2.862 -2.981 -0.481
```